[1]
Crystalline Tb3Pr3Sm8 at its relaxed geometry, computed with PBE.

POSCAR file:
```
Tb3Pr3Sm8
1.0
-2.4267 -0.0844 -5.2190
5.7569 -5.5181 -5.7614
-8.1309 -5.4949 0.6958
Sm Pr Tb
8 3 3
direct
0.8393 0.7635 0.5581
0.3397 0.8808 0.4400
0.3397 0.4400 0.8808
0.6603 0.5600 0.1192
0.1607 0.2365 0.4419
0.6603 0.1192 0.5600
0.8393 0.5581 0.7635
0.1607 0.4419 0.2365
0.0000 0.1816 0.8184
0.5000 0.0000 0.0000
0.0000 0.8184 0.1816
0.5000 0.5000 0.5000
0.2015 0.7982 0.7982
0.7985 0.2018 0.2018
```

Calculated values
total magnetization	0.000	μB/atom
raw total energy	-4.6141	eV/atom
space-group type	Immm
crystal system	orthorhombic

[2]
Crystalline HOsPd2 at its relaxed geometry, computed with PBE.

POSCAR file:
```
HOsPd2
1.0
0.0000 3.0139 3.0139
3.0139 0.0000 3.0139
3.0139 3.0139 0.0000
Pd Os H
2 1 1
direct
0.2500 0.2500 0.2500
0.7500 0.7500 0.7500
0.5000 0.5000 0.5000
0.0000 0.0000 0.0000
```

Calculated values
total magnetization	0.393	μB/atom
space-group type	Fm-3m
crystal system	cubic
energy relative to the lowest polymorph listed for this composition	0.604	eV per atom

[3]
Crystalline LiLa2PmTe4 at its relaxed geometry, computed with PBE.

POSCAR file:
```
LiLa2PmTe4
1.0
-3.4193 -2.3156 1.7965
4.3210 -6.5501 -0.2184
1.0995 3.6069 6.7418
Te La Pm Li
4 2 1 1
direct
0.0000 0.7533 0.2375
0.5000 0.2386 0.2337
0.5000 0.7614 0.7663
0.0000 0.2467 0.7625
0.0000 0.5000 0.5000
0.5000 0.0000 0.5000
0.5000 0.5000 0.0000
0.0000 0.0000 0.0000
```

Calculated values
total magnetization	0.000	μB/atom
space-group type	P2/m
crystal system	monoclinic
raw formation energy	-1449	meV/atom

[4]
Crystalline Na2Nd4NCl9O at its relaxed geometry, computed with PBE.

POSCAR file:
```
Na2Nd4NCl9O
1.0
11.4059 0.0000 0.0000
0.0000 8.1984 0.0022
0.0000 2.7771 9.0330
Na N Cl Nd O
4 2 18 8 2
direct
0.5149 0.7771 0.4287
0.4792 0.2255 0.5706
0.9792 0.7745 0.4294
0.0149 0.2229 0.5713
0.1269 0.4362 0.0155
0.6269 0.5638 0.9845
0.7467 0.6534 0.4648
0.4024 0.1107 0.8830
0.4114 0.1005 0.3072
0.0022 0.5043 0.6959
0.7507 0.2565 0.8571
0.0990 0.1069 0.8776
0.9114 0.8995 0.6928
0.7507 0.2334 0.2541
0.2507 0.7435 0.1429
0.4949 0.5041 0.6966
0.5853 0.9041 0.6847
0.2467 0.3466 0.5352
0.0853 0.0959 0.3153
0.5990 0.8931 0.1224
0.9024 0.8893 0.1170
0.5022 0.4957 0.3041
0.2507 0.7666 0.7459
0.9949 0.4959 0.3034
0.9598 0.2773 0.0482
0.2486 0.3846 0.2191
0.4598 0.7227 0.9518
0.5506 0.2864 0.0464
0.7486 0.6154 0.7809
0.2485 0.4041 0.8291
0.7485 0.5959 0.1709
0.0506 0.7136 0.9536
0.3782 0.4417 0.0146
0.8782 0.5583 0.9854
```

Calculated values
total magnetization	0.000	μB/atom
space-group type	P2_1
crystal system	monoclinic
raw formation energy	-2249	meV/atom

What did the second record say?
Crystalline HOsPd2 at its relaxed geometry, computed with PBE.

POSCAR file:
```
HOsPd2
1.0
0.0000 3.0139 3.0139
3.0139 0.0000 3.0139
3.0139 3.0139 0.0000
Pd Os H
2 1 1
direct
0.2500 0.2500 0.2500
0.7500 0.7500 0.7500
0.5000 0.5000 0.5000
0.0000 0.0000 0.0000
```

Calculated values
total magnetization	0.393	μB/atom
space-group type	Fm-3m
crystal system	cubic
energy relative to the lowest polymorph listed for this composition	0.604	eV per atom

Repeat the third record exactly.
Crystalline LiLa2PmTe4 at its relaxed geometry, computed with PBE.

POSCAR file:
```
LiLa2PmTe4
1.0
-3.4193 -2.3156 1.7965
4.3210 -6.5501 -0.2184
1.0995 3.6069 6.7418
Te La Pm Li
4 2 1 1
direct
0.0000 0.7533 0.2375
0.5000 0.2386 0.2337
0.5000 0.7614 0.7663
0.0000 0.2467 0.7625
0.0000 0.5000 0.5000
0.5000 0.0000 0.5000
0.5000 0.5000 0.0000
0.0000 0.0000 0.0000
```

Calculated values
total magnetization	0.000	μB/atom
space-group type	P2/m
crystal system	monoclinic
raw formation energy	-1449	meV/atom